## A
DFT (PBE) results for a geometry-optimized Hf2Ti2As structure.

Calculated values
N(E_F): 9.27 states/eV/cell

abc: 7.2093 7.2093 7.2093
angles: 148.38 148.38 45.33
Element x y z (fractional)
Hf 0.2500 0.7500 0.5000
Hf 0.7500 0.2500 0.5000
Ti 0.0844 0.0844 0.0000
Ti 0.9156 0.9156 0.0000
As 0.5000 0.5000 0.0000

## B
DFT (PBE) results for a geometry-optimized Hf2Ti2As structure.

Calculated values
N(E_F): 14.36 states/eV/cell

abc: 6.7076 6.7076 4.2505
angles: 90.00 90.00 90.00
Element x y z (fractional)
Hf 0.1629 0.3371 0.0000
Hf 0.3371 0.8371 0.0000
Hf 0.6629 0.1629 0.0000
Hf 0.8371 0.6629 0.0000
Ti 0.1395 0.6395 0.5000
Ti 0.3605 0.1395 0.5000
Ti 0.6395 0.8605 0.5000
Ti 0.8605 0.3605 0.5000
As 0.0000 0.0000 0.5000
As 0.5000 0.5000 0.5000

Least stable = A